Entry 1:
A plane-wave DFT calculation with PBE was carried out for a relaxed structure of NaBeI3.

Lattice parameters (Å, degrees): 4.1412 7.2751 13.5673 105.55 90.00 90.00
Closest atoms and distances in Å follow each position.
Fractional positions:
Na 0.2500 0.0332 0.6461  6 I 3.13-3.40
Na 0.7500 0.3871 0.3539  6 I 3.13-3.40
Be 0.2500 0.7745 0.2499  4 I 2.37-2.54
Be 0.7500 0.5246 0.7501  4 I 2.37-2.54
I 0.7500 0.8573 0.7680  1 Be 2.37
I 0.7500 0.6043 0.1609  2 Be 2.54
I 0.7500 0.3120 0.5793  1 Be 2.42
I 0.2500 0.4434 0.8391  2 Be 2.54
I 0.2500 0.0892 0.2320  1 Be 2.37
I 0.2500 0.7327 0.4207  1 Be 2.42

Values from the calculation:
- N(E_F) (states/eV per cell) = 0.000
- SG = Ama2 (40)
- formation energy (no corrections) (eV/atom) = -0.799
- E above lowest polymorph (meV per atom) = 0.0

=====

Entry 2:
A plane-wave DFT calculation with PBE was carried out for a relaxed structure of MnCr3Cl.

Lattice parameters (Å, degrees): 4.2906 4.2906 4.2906 90.00 90.00 90.00
Closest atoms and distances in Å follow each position.
Fractional positions:
Cr 0.0000 0.5000 0.0000  2 Mn 2.15
Cr 0.0000 0.0000 0.5000  2 Mn 2.15
Cr 0.5000 0.0000 0.0000  2 Mn 2.15
Mn 0.0000 0.0000 0.0000  6 Cr 2.15
Cl 0.5000 0.5000 0.5000  12 Cr 3.03

Values from the calculation:
- N(E_F) (states/eV per cell) = 11.069
- SG = Pm-3m (221)
- formation energy (no corrections) (eV/atom) = 1.487
- E above lowest polymorph (meV per atom) = 323.8

=====

Entry 3:
A plane-wave DFT calculation with PBE was carried out for a relaxed structure of SrGaW3.

Lattice parameters (Å, degrees): 4.8294 4.8294 4.8294 90.00 90.00 90.00
Closest atoms and distances in Å follow each position.
Fractional positions:
Sr 0.0000 0.0000 0.0000  6 W 2.41
Ga 0.5000 0.5000 0.5000  12 W 3.41
W 0.0000 0.5000 0.0000  2 Sr 2.41
W 0.0000 0.0000 0.5000  2 Sr 2.41
W 0.5000 0.0000 0.0000  2 Sr 2.41

Values from the calculation:
- N(E_F) (states/eV per cell) = 9.045
- SG = Pm-3m (221)
- DFT formation energy (eV per formula unit) = 18.096
- E above lowest polymorph (meV per atom) = 1837.6